(1)
Here is a PBEsol-optimized structure of YCr2 from Alexandria. Energies are from SCAN.

## Properties
Raw total energy   -126.1 eV/cell
Energy of formation   149 kJ/mol of formula units
Spin magnetization   0.00 μB per cell

Structure (extended XYZ):
```
6
Lattice="4.052 -1.503 0.000 4.052 1.503 0.000 -1.915 0.000 8.557" Properties=species:S:1:pos:R:3 pbc="T T T"
Y 1.030 0.000 1.306
Y 5.160 0.000 7.251
Cr 0.298 0.000 4.755
Cr 3.332 0.000 2.964
Cr 2.858 0.000 5.592
Cr 5.893 0.000 3.802
```

***

(2)
Here is a PBEsol-optimized structure of YCr from Alexandria. Energies are from SCAN.

## Properties
Raw total energy   -91.2 eV/cell
Energy of formation   61 kJ/mol of formula units
Spin magnetization   6.65 μB per cell

Structure (extended XYZ):
```
4
Lattice="-1.679 2.436 5.206 1.679 -2.436 5.206 1.679 2.436 -5.206" Properties=species:S:1:pos:R:3 pbc="T T T"
Y 0.000 1.218 1.114
Y 1.679 1.218 4.092
Cr 1.679 1.218 -1.550
Cr 0.000 1.218 6.756
```

***

Question: Among the records above, which one has the highest spin magnetization?
Answer: YCr

***

Question: Look up the energy of formation of the second one.
Answer: 61 kJ/mol of formula units

***

Question: Which value of raw total energy does entry 1 give?
Answer: -126.1 eV/cell